## K2SiAs (PBE)

Data for a relaxed structure of K2SiAs.

The value obtained for the formation energy without anion corrections is 0.259 eV/atom. Its space group is P4/mmm (123). The calculation puts the total energy at -2.808 eV per atom. The size of the total moment is 0.00 μB/f.u.

a = 4.562 Å, b = 4.562 Å, c = 5.549 Å
α = 90.00°, β = 90.00°, γ = 90.00°
Atoms (fractional coordinates):
As 0.500 0.500 0.750
Si 0.500 0.500 0.250
K 0.000 0.000 0.503
K 0.000 0.000 0.997